DFT (PBE+U) results for crystalline SrPrVO4 at its relaxed geometry.

abc: 6.9188 6.9188 6.9188
angles: 147.12 147.12 47.18
Last column: nearest neighbours and their distance in Å.
Fractional positions:
O: 0.4922 0.9922 0.5000  2 V 1.96
O: 0.8343 0.8343 0.0000  1 V 2.14, 1 Sr 2.39
O: 0.1745 0.1745 0.0000  1 V 2.18, 1 Pr 2.33
O: 0.9922 0.4922 0.5000  2 V 1.96
Sr: 0.6457 0.6457 0.0000  1 O 2.39
Pr: 0.3580 0.3580 0.0000  5 O 2.33-2.59
V: 0.0030 0.0030 0.0000  6 O 1.96-2.18

Values from the calculation:
Calculated volume, A^3/atom: 13.889
SG: I4mm
E, eV per atom: -7.57
Total moment, μB/f.u.: 2.000